(1)
## CdTcAgCl2 (PBE-GGA)

Data for crystalline CdTcAgCl2 at its relaxed geometry.

Calculated values
D(E_F) in states/eV/f.u.: 3.3
Magnetization in μB per cell: 1.3
Symmetry: P4/mmm
Formation energy without anion corrections in eV per atom: 0.21

Unit cell a=4.610 b=4.610 c=5.722 alpha=90.00 beta=90.00 gamma=90.00
Element x y z (fractional)
Cd 0.000 0.000 0.000
Tc 0.500 0.500 0.500
Ag 0.500 0.500 0.000
Cl 0.000 0.500 0.500
Cl 0.500 0.000 0.500

***

(2)
## Be2HgP (PBE-GGA)

Data for crystalline Be2HgP at its relaxed geometry.

Calculated values
D(E_F) in states/eV/f.u.: 1.1
Total energy in eV/atom: -3.09
Magnetization in μB per cell: 0.0
Symmetry: Pm

Unit cell a=3.430 b=3.545 c=5.527 alpha=90.00 beta=93.66 gamma=90.00
Element x y z (fractional)
Be 0.000 0.000 0.000
Be 0.183 0.500 0.241
Hg 0.007 0.500 0.679
P 0.524 0.000 0.220

***

(3)
## CeTaCo5P2 (PBE-GGA)

Data for crystalline CeTaCo5P2 at its relaxed geometry.

Calculated values
D(E_F) in states/eV/f.u.: 6.5
Total energy in eV/atom: -7.52
Magnetization in μB per cell: 0.2
Symmetry: P4/mmm

Unit cell a=3.707 b=3.707 c=9.905 alpha=90.00 beta=90.00 gamma=90.00
Element x y z (fractional)
Ce 0.000 0.000 0.000
Ta 0.000 0.000 0.500
Co 0.000 0.500 0.329
Co 0.000 0.500 0.671
Co 0.500 0.000 0.329
Co 0.500 0.000 0.671
Co 0.500 0.500 0.000
P 0.500 0.500 0.218
P 0.500 0.500 0.782